# Sr2CuAu2

An optimized crystal structure of Sr2CuAu2 (PBE, Alexandria).

```
Sr2CuAu2
1.0
4.391 0.000 0.834
2.073 5.711 1.063
0.251 -0.954 10.660
Sr Cu Au
4 2 4
direct
0.689 0.265 0.357
0.913 0.281 0.892
0.311 0.735 0.643
0.087 0.719 0.108
0.590 0.142 0.679
0.410 0.858 0.321
0.055 0.303 0.586
0.631 0.857 0.881
0.945 0.697 0.414
0.369 0.143 0.119
```

## Properties
- ΔE to the lowest computed polymorph (kJ per mole of atoms) = 0.0
- magnetic moment (μB per formula unit) = 0.0

***

# KCaAl4

An optimized crystal structure of KCaAl4 (PBE, Alexandria).

```
KCaAl4
1.0
4.498 -2.020 3.025
-0.899 -3.316 4.653
1.302 -5.633 -0.168
K Ca Al
1 1 4
direct
0.000 0.000 0.000
0.750 0.750 0.750
0.874 0.375 0.375
0.375 0.375 0.874
0.375 0.874 0.375
0.375 0.375 0.375
```

## Properties
- magnetic moment (μB per formula unit) = 0.0

***

# PuScTlAg

An optimized crystal structure of PuScTlAg (PBE, Alexandria).

```
PuScTlAg
1.0
-4.204 -0.626 2.947
0.503 -1.315 4.977
-1.095 3.437 3.706
Sc Tl Ag Pu
1 1 1 1
direct
0.500 0.500 0.500
0.750 0.750 0.750
0.250 0.250 0.250
0.000 0.000 0.000
```

## Properties
- magnetic moment (μB per formula unit) = 5.7

***

Energy of formation from the pure elements? In order: -0.5830, -0.0430, -0.0441 eV per atom.